This record from Alexandria via LeMat-Bulk describes an optimized crystal structure of Na2MnSbO. The functional is GGA+U.

a b c (Å): 5.0963 5.0963 3.8895
angles (deg): 90.00 90.00 90.00
Site moments in Bohr magnetons follow the coordinates.
Atoms (fractional coordinates):
O1 0.0000 0.0000 0.0000  0.04
Na1 0.5000 0.0000 0.0000  0.00
Na2 0.0000 0.5000 0.0000  0.00
Sb1 0.5000 0.5000 0.5000  0.02
Mn1 0.0000 0.0000 0.5000  4.48

Summary:
- Space group: P4/mmm, No. 123
- DOS at the Fermi energy: 0.61 states/eV/f.u.
- Total energy: -4.61 eV per atom